(1)
Entry from Alexandria: a geometry-optimized Tl structure (PBE).

The value obtained for the polymorph energy (0 for the lowest one) is 67 meV per atom. As for the crystal system: orthorhombic. Its density of states at the Fermi level is 0.321 states/eV/atom. As for the space group: Amm2, No. 38.

Geometry as CIF:
```
data_Tl
_cell_length_a 3.909
_cell_length_b 13.404
_cell_length_c 7.704
_cell_angle_alpha 90.00
_cell_angle_beta 90.00
_cell_angle_gamma 90.00
_symmetry_space_group_name_H-M 'P 1'
_symmetry_Int_Tables_number 1
_symmetry_space_group_name_Hall 'P 1'
loop_
_atom_site_label
_atom_site_fract_x
_atom_site_fract_y
_atom_site_fract_z
Tl1 0.500 0.875 0.626
Tl2 0.500 0.375 0.126
Tl3 0.000 0.000 0.909
Tl4 0.500 0.125 0.626
Tl5 0.000 0.500 0.409
Tl6 0.500 0.625 0.126
Tl7 0.000 0.206 0.298
Tl8 0.500 0.000 0.247
Tl9 0.500 0.500 0.747
Tl10 0.000 0.706 0.798
Tl11 0.000 0.794 0.298
Tl12 0.000 0.294 0.798
```


(2)
Entry from Alexandria: a geometry-optimized ZrTeRh2 structure (PBE).

The value obtained for the polymorph energy (0 for the lowest one) is 28 meV per atom. As for the crystal system: orthorhombic. Its density of states at the Fermi level is 0.805 states/eV/atom. As for the uncorrected formation energy: -2.0 eV per formula unit. As for the space group: Pmm2, No. 25.

Geometry as CIF:
```
data_ZrTeRh2
_cell_length_a 4.191
_cell_length_b 3.899
_cell_length_c 4.487
_cell_angle_alpha 90.05
_cell_angle_beta 90.00
_cell_angle_gamma 90.00
_symmetry_space_group_name_H-M 'P 1'
_symmetry_Int_Tables_number 1
_symmetry_space_group_name_Hall 'P 1'
loop_
_atom_site_label
_atom_site_fract_x
_atom_site_fract_y
_atom_site_fract_z
Rh1 0.000 0.211 0.875
Rh2 0.500 0.046 0.375
Te1 0.000 0.588 0.375
Zr1 0.500 0.655 0.875
```


(3)
Entry from Alexandria: a geometry-optimized Nd2EuHo structure (PBE).

The value obtained for the polymorph energy (0 for the lowest one) is 98 meV per atom. As for the crystal system: cubic. Its density of states at the Fermi level is 1.596 states/eV/atom. As for the space group: Fm-3m, No. 225.

Geometry as CIF:
```
data_Nd2EuHo
_cell_length_a 5.844
_cell_length_b 5.844
_cell_length_c 5.844
_cell_angle_alpha 60.00
_cell_angle_beta 60.00
_cell_angle_gamma 60.00
_symmetry_space_group_name_H-M 'P 1'
_symmetry_Int_Tables_number 1
_symmetry_space_group_name_Hall 'P 1'
loop_
_atom_site_label
_atom_site_fract_x
_atom_site_fract_y
_atom_site_fract_z
Eu1 0.000 0.000 0.000
Nd1 0.250 0.250 0.250
Ho1 0.500 0.500 0.500
Nd2 0.750 0.750 0.750
```


no.,E (eV per atom)
1,-2.30
2,-7.10
3,-5.96